# Tb2Pm4DyTm2

Crystalline Tb2Pm4DyTm2 at its relaxed geometry (PBE-GGA, Alexandria via LeMat-Bulk).

The structure belongs to space group C2/m (No. 12); the cell edges are 15.220, 5.063 and 8.001 Å and the angles 90.00°, 108.46° and 90.00°. The inequivalent atoms are Tb at (0.111, 0.000, 0.169), Pm at (0.054, 0.500, 0.831), Pm at (0.222, 0.000, 0.831), Dy at (0.000, 0.000, 0.500) and Tm at (0.167, 0.500, 0.500).

---

# TlSb2Se2

Crystalline TlSb2Se2 at its relaxed geometry (PBE-GGA, Alexandria via LeMat-Bulk).

The structure belongs to space group P4/mbm (No. 127); the cell edges are 8.970, 8.970 and 3.825 Å and the angles 90.00°, 90.00° and 90.00°. The inequivalent atoms are Tl at (0.000, 0.000, 0.000), Sb at (0.207, 0.293, 0.500) and Se at (0.147, 0.647, 0.000).

The value obtained for the relative energy among the computed polymorphs is 50 meV per atom. The uncorrected formation energy comes out at -0.113 eV per formula unit.

---

# TiNbZn2

Crystalline TiNbZn2 at its relaxed geometry (PBE-GGA, Alexandria via LeMat-Bulk).

The structure belongs to space group P4/mmm (No. 123); the cell edges are 4.014, 4.014 and 3.927 Å and the angles 90.00°, 90.00° and 90.00°. The inequivalent atoms are Ti at (0.000, 0.000, 0.000), Nb at (0.500, 0.500, 0.000) and Zn at (0.000, 0.500, 0.500).

---

# LaY3Tm3

Crystalline LaY3Tm3 at its relaxed geometry (PBE-GGA, Alexandria via LeMat-Bulk).

The structure belongs to space group P6_3/m (No. 176); the cell edges are 9.5880, 9.5880 and 5.6763 Å and the angles 90.00°, 90.00° and 120.00°. The inequivalent atoms are La at (0.3333, 0.6667, 0.2500), Y at (0.0961, 0.6221, 0.7500) and Tm at (0.0472, 0.8149, 0.2500).

The value obtained for the relative energy among the computed polymorphs is 0 meV per atom.

---

# Y3TmRh8

Crystalline Y3TmRh8 at its relaxed geometry (PBE-GGA, Alexandria via LeMat-Bulk).

The structure belongs to space group R3m (No. 160, hexagonal axes); the cell edges are 5.3360, 5.3360 and 26.1265 Å and the angles 90.00°, 90.00° and 120.00°. The inequivalent atoms are Y at (0.0000, 0.0000, 0.0000), Y at (0.0000, 0.0000, 0.1254), Y at (0.0000, 0.0000, 0.5007), Tm at (0.0000, 0.0000, 0.6258), Rh at (0.0000, 0.0000, 0.3129), Rh at (0.0000, 0.0000, 0.8130), Rh at (0.0002, 0.5001, 0.5633) and Rh at (0.1669, 0.3338, 0.3959).

---

# La2Dy5Ho

Crystalline La2Dy5Ho at its relaxed geometry (PBE-GGA, Alexandria via LeMat-Bulk).

The structure belongs to space group I4/mmm (No. 139); the cell edges are 5.100, 5.100 and 20.175 Å and the angles 90.00°, 90.00° and 90.00°. The inequivalent atoms are La at (0.000, 0.000, 0.250), Dy at (0.000, 0.000, 0.000), Dy at (0.000, 0.500, 0.122) and Ho at (0.000, 0.000, 0.500).

---

# Ca2TaBRu

Crystalline Ca2TaBRu at its relaxed geometry (PBE-GGA, Alexandria via LeMat-Bulk).

The structure belongs to space group P4/mmm (No. 123); the cell edges are 5.120, 5.120 and 4.026 Å and the angles 90.00°, 90.00° and 90.00°. The inequivalent atoms are Ca at (0.000, 0.500, 0.000), Ta at (0.000, 0.000, 0.500), B at (0.500, 0.500, 0.000) and Ru at (0.500, 0.500, 0.500).

---

# Fe2AgRu

Crystalline Fe2AgRu at its relaxed geometry (PBE-GGA, Alexandria via LeMat-Bulk).

The structure belongs to space group P4mm (No. 99); the cell edges are 2.692, 2.692 and 7.651 Å and the angles 90.00°, 90.00° and 90.00°. The inequivalent atoms are Fe at (0.000, 0.000, 0.000), Fe at (0.500, 0.500, 0.223), Ag at (0.500, 0.500, 0.727) and Ru at (0.000, 0.000, 0.434).

The value obtained for the relative energy among the computed polymorphs is 9 meV per atom.

---

# RbCu2SiIr

Crystalline RbCu2SiIr at its relaxed geometry (PBE-GGA, Alexandria via LeMat-Bulk).

The structure belongs to space group P4/mmm (No. 123); the cell edges are 4.687, 4.687 and 5.226 Å and the angles 90.00°, 90.00° and 90.00°. The inequivalent atoms are Rb at (0.000, 0.000, 0.000), Cu at (0.000, 0.500, 0.000), Si at (0.000, 0.000, 0.500) and Ir at (0.500, 0.500, 0.500).

The uncorrected formation energy comes out at 12.822 eV per formula unit.

---

# CuC

Crystalline CuC at its relaxed geometry (PBE-GGA, Alexandria via LeMat-Bulk).

The structure belongs to space group P6/mmm (No. 191); the cell edges are 4.4342, 4.4342 and 3.4195 Å and the angles 90.00°, 90.00° and 120.00°. The inequivalent atoms are Cu at (0.0000, 0.0000, 0.0000), Cu at (0.3333, 0.6667, 0.5000) and C at (0.0000, 0.5000, 0.0000).

The value obtained for the relative energy among the computed polymorphs is 1546 meV per atom.

---

# BaMg2Cu

Crystalline BaMg2Cu at its relaxed geometry (PBE-GGA, Alexandria via LeMat-Bulk).

The structure belongs to space group C2/m (No. 12); the cell edges are 12.400, 3.415 and 5.703 Å and the angles 90.00°, 117.15° and 90.00°. The inequivalent atoms are Ba at (0.000, 0.000, 0.000), Mg at (0.198, 0.000, 0.697) and Cu at (0.000, 0.500, 0.500).

---

# Pa2BeIrN5

Crystalline Pa2BeIrN5 at its relaxed geometry (PBE-GGA, Alexandria via LeMat-Bulk).

The structure belongs to space group Cmc2_1 (No. 36); the cell edges are 3.297, 13.408 and 9.113 Å and the angles 90.00°, 90.00° and 90.00°. The inequivalent atoms are Pa at (0.000, 0.123, 0.000), Pa at (0.000, 0.123, 0.405), Be at (0.000, 0.483, 0.181), Ir at (0.000, 0.211, 0.707), N at (0.000, 0.052, 0.729), N at (0.000, 0.295, 0.354), N at (0.000, 0.296, 0.059), N at (0.000, 0.375, 0.720) and N at (0.000, 0.499, 0.485).

The uncorrected formation energy comes out at -8.610 eV per formula unit.

---

Uncorrected energy / eV for the cell shown: -83.2, -35.4, -21.1, -75.2, -274.8, -74.4, -28.0, -27.8, -10.6, -29.4, -17.9, -327.3
DOS at the Fermi energy / states/eV per atom: 1.472, 0.584, 0.555, 1.929, 0.607, 1.600, 1.199, 1.122, 1.028, 0.549, 0.480, 0.028